[1]
PBE ZrAl2HgW, relaxed; formation energy from the elements = 4.2 eV per formula unit; density of states at the Fermi level = 0.879 states/eV/atom; space-group type = P4/mmm
1.0
-2.701 3.893 0.510
-3.034 -1.600 -3.852
-2.749 -2.317 3.128
Al Zr Hg W
2 1 1 1
direct
0.000 0.000 0.500
0.500 0.000 0.000
0.500 0.500 0.500
0.000 0.500 0.000
0.000 0.000 0.000

=====

[2]
PBE Y2Al2Hg, relaxed; energy relative to the lowest polymorph listed for this composition = 2 meV per atom; formation energy from the elements = -2.3 eV per formula unit; density of states at the Fermi level = 0.729 states/eV/atom; space-group type = C2/m
1.0
-2.673 3.510 -1.109
-3.458 -1.167 -4.685
-7.824 -1.198 5.736
Y Hg Al
4 2 4
direct
0.683 0.309 0.325
0.085 0.734 0.095
0.915 0.266 0.905
0.317 0.691 0.675
0.383 0.893 0.341
0.617 0.107 0.659
0.928 0.707 0.437
0.072 0.293 0.563
0.637 0.838 0.888
0.363 0.162 0.112

=====

[3]
PBE Y2Al2Hg, relaxed; energy relative to the lowest polymorph listed for this composition = 0 meV per atom; formation energy from the elements = -2.3 eV per formula unit; density of states at the Fermi level = 0.232 states/eV/atom; space-group type = P4/mbm
1.0
7.050 0.000 0.000
0.000 7.050 0.000
0.000 0.000 4.686
Hg Al Y
2 4 4
direct
0.000 0.000 0.000
0.500 0.500 0.000
0.368 0.868 0.000
0.632 0.132 0.000
0.868 0.632 0.000
0.132 0.368 0.000
0.831 0.331 0.500
0.331 0.169 0.500
0.169 0.669 0.500
0.669 0.831 0.500

=====

[4]
PBE YAlHg, relaxed; energy relative to the lowest polymorph listed for this composition = 133 meV per atom; formation energy from the elements = -1.0 eV per formula unit; density of states at the Fermi level = 0.213 states/eV/atom; space-group type = F-43m
1.0
4.751 0.000 0.000
2.376 4.115 0.000
2.376 1.372 3.879
Y Hg Al
1 1 1
direct
0.000 0.000 0.000
0.750 0.750 0.750
0.500 0.500 0.500

=====

[5]
PBE YAl2Hg, relaxed; energy relative to the lowest polymorph listed for this composition = 103 meV per atom; formation energy from the elements = -1.0 eV per formula unit; density of states at the Fermi level = 0.512 states/eV/atom; space-group type = Imm2
1.0
-2.040 -4.519 2.361
0.548 -2.247 4.982
-3.357 0.807 2.616
Al Hg Y
2 1 1
direct
0.749 0.749 0.751
0.000 0.000 0.000
0.500 0.500 0.500
0.250 0.250 0.250

=====

[6]
PBE YAl2Hg, relaxed; energy relative to the lowest polymorph listed for this composition = 279 meV per atom; formation energy from the elements = -0.3 eV per formula unit; density of states at the Fermi level = 0.512 states/eV/atom; space-group type = C2/m
1.0
6.029 -0.135 0.262
-2.801 5.340 0.262
0.689 1.111 2.920
Hg Al Y
1 2 1
direct
0.500 0.000 0.500
0.500 0.500 0.000
0.000 0.000 0.000
0.000 0.500 0.500

=====

[7]
PBE YAlHg, relaxed; energy relative to the lowest polymorph listed for this composition = 583 meV per atom; formation energy from the elements = 0.3 eV per formula unit; density of states at the Fermi level = 0.830 states/eV/atom; space-group type = F-43m
1.0
0.000 3.477 3.477
3.477 0.000 3.477
3.477 3.477 0.000
Hg Y Al
1 1 1
direct
0.750 0.750 0.750
0.500 0.500 0.500
0.250 0.250 0.250

=====

[8]
PBE Y2Al3Hg, relaxed; energy relative to the lowest polymorph listed for this composition = 0 meV per atom; formation energy from the elements = -3.0 eV per formula unit; density of states at the Fermi level = 0.479 states/eV/atom; space-group type = Pmm2
1.0
3.587 0.000 0.000
0.000 4.587 0.000
0.000 0.000 7.982
Y Al Hg
2 3 1
direct
0.000 0.500 0.992
0.000 0.000 0.509
0.500 0.000 0.163
0.500 0.000 0.833
0.500 0.500 0.670
0.500 0.500 0.333

=====

[9]
PBE YAlHg, relaxed; energy relative to the lowest polymorph listed for this composition = 128 meV per atom; formation energy from the elements = -1.1 eV per formula unit; density of states at the Fermi level = 0.384 states/eV/atom; space-group type = Immm
1.0
4.008 0.001 0.000
2.002 6.457 -0.042
2.002 3.539 5.401
Al Y Hg
2 2 2
direct
0.110 0.027 0.615
0.875 0.262 0.851
0.808 0.829 0.418
0.177 0.460 0.048
0.492 0.887 0.990
0.492 0.401 0.476

=====

[10]
PBE Y3Al3Hg, relaxed; formation energy from the elements = -3.2 eV per formula unit; density of states at the Fermi level = 0.748 states/eV/atom; space-group type = C2/m
1.0
-2.897 3.180 1.382
-3.161 -1.731 4.745
7.879 6.286 9.437
Y Hg Al
6 2 6
direct
0.262 0.257 0.219
0.530 0.317 0.623
0.470 0.683 0.377
0.738 0.743 0.781
0.396 0.284 0.923
0.604 0.716 0.077
0.756 0.099 0.389
0.244 0.901 0.611
0.126 0.292 0.456
0.027 0.174 0.773
0.973 0.826 0.227
0.109 0.856 0.926
0.891 0.144 0.074
0.874 0.708 0.544

=====

[11]
PBE YAlHg, relaxed; energy relative to the lowest polymorph listed for this composition = 176 meV per atom; formation energy from the elements = -0.9 eV per formula unit; density of states at the Fermi level = 0.562 states/eV/atom; space-group type = Pnma
1.0
-1.839 -4.634 4.020
-0.944 -2.777 -3.633
8.617 -3.223 0.226
Al Hg Y
4 4 4
direct
0.856 0.250 0.419
0.644 0.750 0.919
0.144 0.750 0.581
0.356 0.250 0.081
0.968 0.250 0.725
0.032 0.750 0.275
0.532 0.750 0.225
0.468 0.250 0.775
0.158 0.750 0.916
0.342 0.250 0.416
0.842 0.250 0.084
0.658 0.750 0.584

=====

[12]
PBE Y2Al3Hg, relaxed; energy relative to the lowest polymorph listed for this composition = 14 meV per atom; formation energy from the elements = -2.9 eV per formula unit; density of states at the Fermi level = 0.567 states/eV/atom; space-group type = Fmmm
1.0
5.823 -0.581 0.000
-0.807 5.796 0.000
-2.508 -2.607 7.934
Y Hg Al
4 2 6
direct
0.250 0.750 0.500
0.750 0.250 0.500
0.250 0.250 0.000
0.750 0.750 0.000
0.333 0.333 0.666
0.667 0.667 0.334
0.835 0.330 0.165
0.330 0.835 0.165
0.670 0.165 0.835
0.165 0.670 0.835
0.836 0.836 0.672
0.164 0.164 0.328

=====

[13]
PBE YAl2Hg2, relaxed; energy relative to the lowest polymorph listed for this composition = 143 meV per atom; formation energy from the elements = -0.5 eV per formula unit; density of states at the Fermi level = 0.431 states/eV/atom; space-group type = P4/mbm
1.0
-2.133 1.768 -7.508
-7.559 -2.027 1.670
-0.648 3.187 0.934
Hg Al Y
4 4 2
direct
0.672 0.828 0.500
0.328 0.172 0.500
0.172 0.672 0.500
0.828 0.328 0.500
0.375 0.875 0.000
0.125 0.375 0.000
0.625 0.125 0.000
0.875 0.625 0.000
0.000 0.000 0.000
0.500 0.500 0.000

=====

[14]
PBE YAl2Hg, relaxed; energy relative to the lowest polymorph listed for this composition = 315 meV per atom; formation energy from the elements = -0.1 eV per formula unit; density of states at the Fermi level = 0.946 states/eV/atom; space-group type = Fm-3m
1.0
0.000 3.512 3.512
3.512 0.000 3.512
3.512 3.512 0.000
Y Hg Al
1 1 2
direct
0.000 0.000 0.000
0.500 0.500 0.500
0.750 0.750 0.750
0.250 0.250 0.250

=====

[15]
PBE YAlHg, relaxed; energy relative to the lowest polymorph listed for this composition = 131 meV per atom; formation energy from the elements = -1.1 eV per formula unit; density of states at the Fermi level = 0.576 states/eV/atom; space-group type = Cm
1.0
4.594 0.000 0.000
0.000 7.463 0.000
0.000 1.283 4.182
Y Al Hg
2 2 2
direct
0.952 0.331 0.828
0.952 0.958 0.515
0.452 0.262 0.362
0.452 0.027 0.979
0.454 0.644 0.675
0.957 0.644 0.173

=====

[16]
PBE YAl2Hg2, relaxed; energy relative to the lowest polymorph listed for this composition = 0 meV per atom; formation energy from the elements = -1.2 eV per formula unit; density of states at the Fermi level = 0.290 states/eV/atom; space-group type = I4/mmm
1.0
-3.488 -1.779 -1.624
1.866 -3.803 0.157
-2.991 -3.628 4.865
Hg Y Al
2 1 2
direct
0.386 0.386 0.228
0.614 0.614 0.772
0.000 0.000 0.000
0.750 0.250 0.500
0.250 0.750 0.500

=====

[17]
PBE YAlHg, relaxed; energy relative to the lowest polymorph listed for this composition = 124 meV per atom; formation energy from the elements = -1.1 eV per formula unit; density of states at the Fermi level = 0.696 states/eV/atom; space-group type = Pnma
1.0
-6.129 -1.765 -0.222
1.005 -3.818 2.618
-1.648 4.769 7.587
Y Al Hg
4 4 4
direct
0.323 0.250 0.415
0.177 0.750 0.915
0.677 0.750 0.585
0.823 0.250 0.085
0.539 0.750 0.232
0.961 0.250 0.732
0.461 0.250 0.768
0.039 0.750 0.268
0.164 0.750 0.589
0.664 0.750 0.911
0.836 0.250 0.411
0.336 0.250 0.089

=====

[18]
PBE Y2AlHg2, relaxed; energy relative to the lowest polymorph listed for this composition = 219 meV per atom; formation energy from the elements = -0.9 eV per formula unit; density of states at the Fermi level = 0.669 states/eV/atom; space-group type = P4/mbm
1.0
-0.518 -3.063 7.673
1.146 -7.641 -2.973
3.841 0.411 0.423
Y Hg Al
4 4 2
direct
0.162 0.338 0.000
0.662 0.162 0.000
0.838 0.662 0.000
0.338 0.838 0.000
0.139 0.639 0.500
0.639 0.861 0.500
0.861 0.361 0.500
0.361 0.139 0.500
0.000 0.000 0.000
0.500 0.500 0.000

=====

[19]
PBE YAlHg3, relaxed; energy relative to the lowest polymorph listed for this composition = 544 meV per atom; formation energy from the elements = 3.1 eV per formula unit; density of states at the Fermi level = 1.773 states/eV/atom; space-group type = Pm-3m
1.0
5.830 0.000 0.000
0.000 5.830 0.000
0.000 0.000 5.830
Hg Y Al
3 1 1
direct
0.000 0.500 0.000
0.000 0.000 0.500
0.500 0.000 0.000
0.000 0.000 0.000
0.500 0.500 0.500

=====

[20]
PBE YAlHg, relaxed; energy relative to the lowest polymorph listed for this composition = 43 meV per atom; formation energy from the elements = -1.3 eV per formula unit; density of states at the Fermi level = 1.079 states/eV/atom; space-group type = Ima2
1.0
5.894 0.012 0.007
0.412 5.880 0.007
1.900 1.776 3.966
Al Y Hg
2 2 2
direct
0.934 0.871 0.673
0.783 0.023 0.173
0.363 0.009 0.890
0.920 0.451 0.390
0.532 0.423 0.098
0.334 0.620 0.598

=====

[21]
PBE YAlHg, relaxed; energy relative to the lowest polymorph listed for this composition = 1 meV per atom; formation energy from the elements = -1.4 eV per formula unit; density of states at the Fermi level = 0.827 states/eV/atom; space-group type = Imm2
1.0
-5.370 -2.183 1.118
1.243 -0.423 -4.438
3.256 -4.813 -1.042
Al Y Hg
2 2 2
direct
0.983 0.650 0.498
0.399 0.650 0.914
0.832 0.291 0.065
0.380 0.339 0.517
0.251 0.980 0.105
0.792 0.980 0.646

=====

[22]
PBE Y3Al2Hg3, relaxed; formation energy from the elements = -3.6 eV per formula unit; density of states at the Fermi level = 0.643 states/eV/atom; space-group type = Cmcm
1.0
4.534 0.000 0.000
-2.267 5.561 0.000
0.000 0.000 15.161
Hg Y Al
6 6 4
direct
0.377 0.754 0.537
0.641 0.283 0.750
0.623 0.246 0.463
0.359 0.717 0.250
0.377 0.754 0.963
0.623 0.246 0.037
0.082 0.163 0.611
0.363 0.726 0.750
0.918 0.837 0.389
0.918 0.837 0.111
0.082 0.163 0.889
0.637 0.274 0.250
0.792 0.584 0.892
0.208 0.416 0.108
0.208 0.416 0.392
0.792 0.584 0.608

=====

[23]
PBE YAl2Hg, relaxed; energy relative to the lowest polymorph listed for this composition = 19 meV per atom; formation energy from the elements = -1.3 eV per formula unit; density of states at the Fermi level = 0.656 states/eV/atom; space-group type = Cmcm
1.0
4.443 0.000 0.000
-2.221 5.486 0.000
0.000 0.000 6.982
Al Hg Y
4 2 2
direct
0.613 0.226 0.060
0.613 0.226 0.440
0.387 0.774 0.940
0.387 0.774 0.560
0.784 0.567 0.750
0.216 0.433 0.250
0.075 0.151 0.750
0.925 0.849 0.250

=====

[24]
PBE YAl3Hg3, relaxed; formation energy from the elements = 2.4 eV per formula unit; density of states at the Fermi level = 0.643 states/eV/atom; space-group type = Pm-3n
1.0
7.257 0.000 0.000
0.000 7.257 0.000
0.000 0.000 7.257
Y Hg Al
2 6 6
direct
0.000 0.000 0.000
0.500 0.500 0.500
0.500 0.750 0.000
0.500 0.250 0.000
0.250 0.000 0.500
0.000 0.500 0.750
0.000 0.500 0.250
0.750 0.000 0.500
0.500 0.000 0.750
0.250 0.500 0.000
0.000 0.250 0.500
0.500 0.000 0.250
0.000 0.750 0.500
0.750 0.500 0.000

=====

[25]
PBE YAlHg, relaxed; energy relative to the lowest polymorph listed for this composition = 97 meV per atom; formation energy from the elements = -1.2 eV per formula unit; density of states at the Fermi level = 0.951 states/eV/atom; space-group type = Imma
1.0
5.644 0.058 0.043
2.772 4.988 0.033
2.772 1.476 4.765
Hg Al Y
2 2 2
direct
0.208 0.311 0.232
0.208 0.811 0.732
0.208 0.311 0.732
0.708 0.311 0.732
0.589 0.680 0.101
0.827 0.942 0.362